The following is a PBE calculation of an optimized crystal structure of Cs2MgH2Cl2, from the Alexandria database.

Results
* total magnetic moment: 0.00 μB/f.u.
* N(E_F): 0.000 states/eV per atom
* E_tot: -3.021 eV per atom

CIF file:
```
data_Cs2MgH2Cl2
_cell_length_a 4.720
_cell_length_b 4.720
_cell_length_c 16.727
_cell_angle_alpha 90.00
_cell_angle_beta 90.00
_cell_angle_gamma 90.00
_symmetry_space_group_name_H-M 'I 4/m m m'
_symmetry_Int_Tables_number 139
_symmetry_space_group_name_Hall '-I 4 2'
loop_
_atom_site_label
_atom_site_type_symbol
_atom_site_fract_x
_atom_site_fract_y
_atom_site_fract_z
Cs1 Cs 0.000 0.000 0.131
Mg1 Mg 0.000 0.000 0.500
H1 H 0.000 0.500 0.000
Cl1 Cl 0.000 0.000 0.351
```